VASP calculation (PBE+U) on an optimized crystal structure of KCo2O.

Calculated values
Uncorrected energy: -33.32 eV for the cell shown
Calculated density: 3.57 Mg/m³
Crystal system: tetragonal

abc: 6.038 6.038 6.038
angles: 117.47 117.47 94.45
Element x y z (fractional)
K 0.375 0.625 0.750
K 0.625 0.375 0.250
Co 0.000 0.000 0.000
Co 0.000 0.000 0.500
Co 0.000 0.500 0.000
Co 0.500 0.000 0.500
O 0.125 0.875 0.250
O 0.875 0.125 0.750